# LiFeRh2O

A relaxed LiFeRh2O crystal (PBE with a Hubbard U, Alexandria via LeMat-Bulk).

Energy relative to the lowest polymorph listed for this composition, meV/atom: 0
E_tot, eV/f.u.: -24.721
Total magnetization, μB per atom: 1.2251

Lattice parameters (Å, degrees): 4.4581 3.2611 4.4581 90.00 90.00 90.00
Sites, in units of the cell vectors:
O 0.0000 0.5000 0.0000
Li 0.0000 0.0000 0.0000
Rh 0.0000 0.0000 0.5000
Rh 0.5000 0.0000 0.0000
Fe 0.5000 0.5000 0.5000